# 1
# NdHo4Er15, relaxed, DFT PBE-GGA
data_NdHo4Er15
_space_group_name_H-M_alt 'P 1'
_space_group_IT_number 1
_cell_length_a 4.975
_cell_length_b 4.975
_cell_length_c 24.863
_cell_angle_alpha 90.00
_cell_angle_beta 90.00
_cell_angle_gamma 90.00
loop_
_space_group_symop_operation_xyz
'x,y,z'
loop_
_atom_site_label
_atom_site_type_symbol
_atom_site_fract_x
_atom_site_fract_y
_atom_site_fract_z
Nd1 Nd 0.000 0.000 0.000
Ho1 Ho 0.000 0.000 0.201
Ho2 Ho 0.000 0.000 0.401
Ho3 Ho 0.000 0.000 0.599
Ho4 Ho 0.000 0.000 0.799
Er1 Er 0.000 0.500 0.102
Er2 Er 0.000 0.500 0.301
Er3 Er 0.000 0.500 0.500
Er4 Er 0.000 0.500 0.699
Er5 Er 0.000 0.500 0.898
Er6 Er 0.500 0.000 0.102
Er7 Er 0.500 0.000 0.301
Er8 Er 0.500 0.000 0.500
Er9 Er 0.500 0.000 0.699
Er10 Er 0.500 0.000 0.898
Er11 Er 0.500 0.500 0.000
Er12 Er 0.500 0.500 0.202
Er13 Er 0.500 0.500 0.400
Er14 Er 0.500 0.500 0.600
Er15 Er 0.500 0.500 0.798
# D(E_F), states/eV per atom: 1.313
# Energy, Ry per atom: -0.3347
# Energy of formation from the pure elements, meV/atom: 22.6
# Symmetry: P4/mmm
# Spin magnetization, μB per formula unit: 0.0
# Crystal system: tetragonal

---

# 2
# La4YEr15, relaxed, DFT PBE-GGA
data_La4YEr15
_space_group_name_H-M_alt 'P 1'
_space_group_IT_number 1
_cell_length_a 5.050
_cell_length_b 5.050
_cell_length_c 25.066
_cell_angle_alpha 90.00
_cell_angle_beta 90.00
_cell_angle_gamma 90.00
loop_
_space_group_symop_operation_xyz
'x,y,z'
loop_
_atom_site_label
_atom_site_type_symbol
_atom_site_fract_x
_atom_site_fract_y
_atom_site_fract_z
La1 La 0.000 0.000 0.100
La2 La 0.000 0.000 0.300
La3 La 0.000 0.000 0.700
La4 La 0.000 0.000 0.900
Y1 Y 0.000 0.000 0.500
Er1 Er 0.000 0.500 0.000
Er2 Er 0.000 0.500 0.201
Er3 Er 0.000 0.500 0.402
Er4 Er 0.000 0.500 0.598
Er5 Er 0.000 0.500 0.799
Er6 Er 0.500 0.000 0.000
Er7 Er 0.500 0.000 0.201
Er8 Er 0.500 0.000 0.402
Er9 Er 0.500 0.000 0.598
Er10 Er 0.500 0.000 0.799
Er11 Er 0.500 0.500 0.100
Er12 Er 0.500 0.500 0.302
Er13 Er 0.500 0.500 0.500
Er14 Er 0.500 0.500 0.698
Er15 Er 0.500 0.500 0.900
# D(E_F), states/eV per atom: 1.546
# Energy, Ry per atom: -0.3451
# Energy of formation from the pure elements, meV/atom: 35.1
# Symmetry: P4/mmm
# Spin magnetization, μB per formula unit: 0.0
# Crystal system: tetragonal